Entry 1:
AsPtBr6 | PBE | optimized geometry

Cell and atoms, written as CIF:
```
data_AsPtBr6
_chemical_formula_sum 'As1 Pt1 Br6'
_space_group_name_H-M_alt 'P 1'
_space_group_IT_number 1
_cell_length_a 6.984
_cell_length_b 6.984
_cell_length_c 6.984
_cell_angle_alpha 60.00
_cell_angle_beta 60.00
_cell_angle_gamma 60.00
loop_
_space_group_symop_operation_xyz
'x,y,z'
loop_
_atom_site_label
_atom_site_type_symbol
_atom_site_fract_x
_atom_site_fract_y
_atom_site_fract_z
As1 As 0.500 0.500 0.500
Br1 Br 0.499 0.001 0.001
Br2 Br 0.001 0.499 0.001
Br3 Br 0.499 0.499 0.001
Br4 Br 0.001 0.001 0.499
Br5 Br 0.499 0.001 0.499
Br6 Br 0.001 0.499 0.499
Pt1 Pt 0.250 0.250 0.250
```

Summary:
- SG = F-43m, No. 216
- total magnetization (μB per formula unit) = 0.685
- energy (eV per atom) = -2.4748
- V (A^3/atom) = 30.1


Entry 2:
AsWBr6 | PBE | optimized geometry

Cell and atoms, written as CIF:
```
data_AsWBr6
_chemical_formula_sum 'As1 W1 Br6'
_space_group_name_H-M_alt 'P 1'
_space_group_IT_number 1
_cell_length_a 7.201
_cell_length_b 7.201
_cell_length_c 7.201
_cell_angle_alpha 60.00
_cell_angle_beta 60.00
_cell_angle_gamma 60.00
loop_
_space_group_symop_operation_xyz
'x,y,z'
loop_
_atom_site_label
_atom_site_type_symbol
_atom_site_fract_x
_atom_site_fract_y
_atom_site_fract_z
As1 As 0.250 0.250 0.250
Br1 Br 0.756 0.756 0.244
Br2 Br 0.756 0.244 0.244
Br3 Br 0.244 0.756 0.244
Br4 Br 0.756 0.244 0.756
Br5 Br 0.244 0.756 0.756
Br6 Br 0.244 0.244 0.756
W1 W 0.000 0.000 0.000
```

Summary:
- SG = F-43m, No. 216
- total magnetization (μB per formula unit) = 2.995
- energy (eV per atom) = -3.5297
- V (A^3/atom) = 33.0


Entry 3:
As2W4Br | PBE | optimized geometry

Cell and atoms, written as CIF:
```
data_As2W4Br
_chemical_formula_sum 'As2 W4 Br1'
_space_group_name_H-M_alt 'P 1'
_space_group_IT_number 1
_cell_length_a 3.597
_cell_length_b 3.597
_cell_length_c 11.329
_cell_angle_alpha 90.35
_cell_angle_beta 90.35
_cell_angle_gamma 74.06
loop_
_space_group_symop_operation_xyz
'x,y,z'
loop_
_atom_site_label
_atom_site_type_symbol
_atom_site_fract_x
_atom_site_fract_y
_atom_site_fract_z
As1 As 0.059 0.059 0.636
As2 As 0.325 0.325 0.891
Br1 Br 0.515 0.515 0.340
W1 W 0.950 0.950 0.017
W2 W 0.342 0.342 0.127
W3 W 0.439 0.439 0.561
W4 W 0.705 0.705 0.760
```

Summary:
- SG = Cm, No. 8
- total magnetization (μB per formula unit) = 0.013
- energy (eV per atom) = -8.2329
- V (A^3/atom) = 20.1


Entry 4:
Hf4Cd2AsC | PBE | optimized geometry

Cell and atoms, written as CIF:
```
data_Hf4Cd2AsC
_chemical_formula_sum 'Hf4 Cd2 As1 C1'
_space_group_name_H-M_alt 'P 1'
_space_group_IT_number 1
_cell_length_a 3.423
_cell_length_b 3.423
_cell_length_c 15.546
_cell_angle_alpha 90.00
_cell_angle_beta 90.00
_cell_angle_gamma 120.00
loop_
_space_group_symop_operation_xyz
'x,y,z'
loop_
_atom_site_label
_atom_site_type_symbol
_atom_site_fract_x
_atom_site_fract_y
_atom_site_fract_z
As1 As 0.000 0.000 0.500
C1 C 0.000 0.000 0.000
Cd1 Cd 0.667 0.333 0.236
Cd2 Cd 0.333 0.667 0.764
Hf1 Hf 0.333 0.667 0.077
Hf2 Hf 0.333 0.667 0.391
Hf3 Hf 0.667 0.333 0.609
Hf4 Hf 0.667 0.333 0.923
```

Summary:
- SG = P-3m1, No. 164
- total magnetization (μB per formula unit) = 0.007
- energy (eV per atom) = -7.3504
- V (A^3/atom) = 19.7


Entry 5:
Sc4CdAsC2 | PBE | optimized geometry

Cell and atoms, written as CIF:
```
data_Sc4CdAsC2
_chemical_formula_sum 'Sc4 Cd1 As1 C2'
_space_group_name_H-M_alt 'P 1'
_space_group_IT_number 1
_cell_length_a 3.356
_cell_length_b 3.356
_cell_length_c 14.343
_cell_angle_alpha 90.00
_cell_angle_beta 90.00
_cell_angle_gamma 120.00
loop_
_space_group_symop_operation_xyz
'x,y,z'
loop_
_atom_site_label
_atom_site_type_symbol
_atom_site_fract_x
_atom_site_fract_y
_atom_site_fract_z
As1 As 0.000 0.000 0.000
C1 C 0.667 0.333 0.233
C2 C 0.667 0.333 0.767
Cd1 Cd 0.333 0.667 0.500
Sc1 Sc 0.333 0.667 0.145
Sc2 Sc 0.000 0.000 0.315
Sc3 Sc 0.000 0.000 0.685
Sc4 Sc 0.333 0.667 0.855
```

Summary:
- SG = P-6m2, No. 187
- total magnetization (μB per formula unit) = 0.781
- energy (eV per atom) = -6.7985
- V (A^3/atom) = 17.5


Entry 6:
Y4CdAsC2 | PBE | optimized geometry

Cell and atoms, written as CIF:
```
data_Y4CdAsC2
_chemical_formula_sum 'Y4 Cd1 As1 C2'
_space_group_name_H-M_alt 'P 1'
_space_group_IT_number 1
_cell_length_a 3.673
_cell_length_b 3.673
_cell_length_c 14.913
_cell_angle_alpha 90.00
_cell_angle_beta 90.00
_cell_angle_gamma 120.00
loop_
_space_group_symop_operation_xyz
'x,y,z'
loop_
_atom_site_label
_atom_site_type_symbol
_atom_site_fract_x
_atom_site_fract_y
_atom_site_fract_z
As1 As 0.000 0.000 0.000
C1 C 0.333 0.667 0.234
C2 C 0.333 0.667 0.766
Cd1 Cd 0.667 0.333 0.500
Y1 Y 0.667 0.333 0.138
Y2 Y 0.000 0.000 0.319
Y3 Y 0.000 0.000 0.681
Y4 Y 0.667 0.333 0.862
```

Summary:
- SG = P-6m2, No. 187
- total magnetization (μB per formula unit) = 1.085
- energy (eV per atom) = -6.7492
- V (A^3/atom) = 21.8


Q: Among the records above, which one has the lowest total magnetization?
A: Hf4Cd2AsC


Q: Among the records above, which one has the highest V?
A: AsWBr6


Q: Which value of total magnetization does entry 2 give?
A: 2.995 μB per formula unit